Below is crystalline LiMnZn2 at its relaxed geometry, with properties calculated at the PBEsol level.

Results
The value obtained for the total magnetization is 0.66 μB per atom. Its energy of formation from the pure elements is -12.3 meV/atom. The density of states at the Fermi level comes out at 0.516 states/eV per atom.

POSCAR file:
```
LiMnZn2
1.0
2.822 0.000 0.000
0.000 4.284 0.000
0.000 0.000 4.284
Mn Zn Li
1 2 1
Direct
0.500 0.000 0.000 Mn
0.000 0.000 0.500 Zn
0.000 0.500 0.000 Zn
0.500 0.500 0.500 Li
```